Entry from Alexandria via LeMat-Bulk: a relaxed structure of Ta2ZnIn (PBE).

```
Ta2ZnIn
1.0
5.270 0.001 0.000
2.202 4.788 0.000
-3.736 -2.395 2.843
In Ta Zn
1 2 1
direct
0.750 0.250 0.500
0.000 0.000 0.000
0.500 0.500 0.000
0.250 0.750 0.500
```

Properties
energy relative to the elements = 0.11 eV/atom